Computed, not measured: an optimized crystal structure of Li5Mg at the GGA-PBE level of DFT.

Structure (POSCAR):
```
Li5Mg
1.0
-1.703 -0.077 -2.611
0.647 -3.032 -0.332
-10.198 -2.914 6.741
Li Mg
5 1
Cartesian
-0.002 0.000 0.001
-2.196 -2.031 -0.369
-3.399 -0.971 2.247
-5.659 -3.021 1.920
-6.797 -1.942 4.493
-9.027 -3.983 4.146
```

Density (g cm⁻³): 0.80
Energy of formation (meV/atom): -15
Magnetic moment (μB per atom): 0.000
E_tot (eV/atom): -1.8753
Crystal system: tetragonal
Density of states at the Fermi level (states/eV/cell): 1.8

***

Computed, not measured: an optimized crystal structure of CsVS2Cl at the GGA-PBE level of DFT.

Structure (POSCAR):
```
CsVS2Cl
1.0
5.412 0.000 0.000
0.000 5.412 0.000
0.000 0.000 5.992
Cs S Cl V
1 2 1 1
Cartesian
0.000 0.000 0.000
0.000 2.706 0.000
2.706 0.000 0.000
0.000 0.000 2.996
2.706 2.706 2.996
```

Density (g cm⁻³): 2.68
Magnetic moment (μB per atom): 0.032
E_tot (eV/atom): -2.6890
Crystal system: tetragonal
Formation energy from raw total energies (eV/atom): 1.33
Density of states at the Fermi level (states/eV/cell): 8.8

***

Computed, not measured: an optimized crystal structure of HoAl2GaPd4 at the GGA-PBE level of DFT.

Structure (POSCAR):
```
HoAl2GaPd4
1.0
-3.651 0.747 2.172
-0.392 -1.333 4.084
1.761 7.153 4.783
Ho Al Ga Pd
1 2 1 4
Cartesian
0.000 0.000 0.000
-1.775 4.777 8.225
-0.508 1.791 2.814
-1.141 3.284 5.519
-0.209 5.486 6.328
-2.810 2.330 7.326
0.528 4.238 3.713
-2.073 1.081 4.711
```

Density (g cm⁻³): 8.74
Energy of formation (meV/atom): -804
Magnetic moment (μB per atom): 0.000
E_tot (eV/atom): -5.2868
Crystal system: trigonal
Density of states at the Fermi level (states/eV/cell): 2.6

***

Please write out number 1 again, unchanged.
Computed, not measured: an optimized crystal structure of Li5Mg at the GGA-PBE level of DFT.

Structure (POSCAR):
```
Li5Mg
1.0
-1.703 -0.077 -2.611
0.647 -3.032 -0.332
-10.198 -2.914 6.741
Li Mg
5 1
Cartesian
-0.002 0.000 0.001
-2.196 -2.031 -0.369
-3.399 -0.971 2.247
-5.659 -3.021 1.920
-6.797 -1.942 4.493
-9.027 -3.983 4.146
```

Density (g cm⁻³): 0.80
Energy of formation (meV/atom): -15
Magnetic moment (μB per atom): 0.000
E_tot (eV/atom): -1.8753
Crystal system: tetragonal
Density of states at the Fermi level (states/eV/cell): 1.8